No. 1
Material: Cs2AlIrO
Method: DFT, GGA-PBE
State: optimized geometry

Cell: 6.176 6.176 4.731 Å, 90.00 90.00 90.00°
Fractional positions:
Cs 0.000 0.500 0.000
Cs 0.500 0.000 0.000
Al 0.000 0.000 0.500
Ir 0.000 0.000 0.000
O 0.500 0.500 0.500

Total moment   0.2 μB per cell
Raw formation energy   0.418 eV/atom

---

No. 2
Material: ScTa2Cl
Method: DFT, GGA-PBE
State: optimized geometry

Cell: 4.745 4.745 4.745 Å, 60.00 60.00 60.00°
Fractional positions:
Sc 0.000 0.000 0.000
Ta 0.250 0.250 0.250
Ta 0.750 0.750 0.750
Cl 0.500 0.500 0.500

Total moment   0.0 μB per cell
Raw formation energy   1.050 eV/atom